VASP calculation (PBE+U) on a relaxed structure of ThMnSbO6.

Cell: 5.0288 5.0288 9.7372 Å, 90.00 90.00 90.00°
Element x y z (fractional)
Th: 0.0000 0.0000 0.0000
Th: 0.5000 0.5000 0.5000
Mn: 0.0000 0.0000 0.3347
Mn: 0.5000 0.5000 0.8347
Sb: 0.0000 0.0000 0.6658
Sb: 0.5000 0.5000 0.1658
O: 0.1713 0.1713 0.4971
O: 0.1955 0.1955 0.8105
O: 0.2083 0.2083 0.1773
O: 0.2917 0.7083 0.6773
O: 0.3045 0.6955 0.3105
O: 0.3287 0.6713 0.9971
O: 0.6713 0.3287 0.9971
O: 0.6955 0.3045 0.3105
O: 0.7083 0.2917 0.6773
O: 0.7917 0.7917 0.1773
O: 0.8045 0.8045 0.8105
O: 0.8287 0.8287 0.4971

Summary:
Its total energy is -68.06 eV per formula unit. The crystal system is tetragonal.